Material: Na2MnCuO4
Method: DFT, GGA+U
State: relaxed Values from VASP.

Geometry as Quantum ESPRESSO input:
```
&SYSTEM
  ibrav = 0, nat = 8, ntyp = 4
/
ATOMIC_SPECIES
O 16.00 O.upf
Mn 54.94 Mn.upf
Cu 63.55 Cu.upf
Na 22.99 Na.upf
ATOMIC_POSITIONS crystal
O 0.0000 0.6818 0.2308
O 0.5000 0.1974 0.1890
O 0.0000 0.3182 0.7692
O 0.5000 0.8026 0.8110
Mn 0.5000 0.5000 0.0000
Cu 0.0000 0.0000 0.0000
Na 0.5000 0.0000 0.5000
Na 0.0000 0.5000 0.5000
CELL_PARAMETERS angstrom
2.8546 0.0000 0.0000
0.0000 6.1100 -0.2844
0.0000 -2.5189 5.4541
```

Properties
total DFT energy (no corrections)	-5.57	eV/atom
magnetic moment	4.015	μB/cell